Entry 1:
Nd2ErPu, relaxed, DFT PBE; total moment = 6.23 Bohr magnetons per cell; SG = P4/mmm (123); energy relative to the elements = 0.149 eV/atom; ρ = 9.09 g cm⁻³; crystal system = tetragonal; final energy = -6.958 eV/atom; ΔE to the lowest computed polymorph = 35 meV per atom
1.0
5.055 0.000 0.000
0.000 5.055 0.000
0.000 0.000 5.003
Nd Er Pu
2 1 1
Cartesian
0.000 2.527 0.000 Nd
2.527 0.000 0.000 Nd
0.000 0.000 2.502 Er
2.527 2.527 2.502 Pu

Entry 2:
DyTiS4, relaxed, DFT PBE; total moment = 1.62 Bohr magnetons per cell; SG = C2/m (12); ρ = 3.51 g cm⁻³; crystal system = monoclinic; final energy = -6.047 eV/atom; formation energy (no corrections) = -1212 meV/atom
1.0
7.975 -2.516 0.000
7.975 2.516 0.000
-2.206 0.000 7.979
Dy Ti S
2 2 8
Cartesian
2.710 0.000 2.313 Dy
11.035 0.000 5.665 Dy
0.082 0.000 5.392 Ti
13.662 0.000 2.587 Ti
0.059 0.000 2.897 S
0.097 0.000 7.637 S
2.586 0.000 5.124 S
5.499 0.000 2.614 S
8.246 0.000 5.365 S
11.159 0.000 2.854 S
13.647 0.000 0.341 S
13.686 0.000 5.081 S

Entry 3:
SrBe2Au2, relaxed, DFT PBE; total moment = 0.00 Bohr magnetons per cell; SG = P4/mbm (127); energy relative to the elements = -0.036 eV/atom; ρ = 9.60 g cm⁻³; crystal system = tetragonal; final energy = -3.174 eV/atom; ΔE to the lowest computed polymorph = 293 meV per atom
1.0
7.502 0.000 0.000
0.000 7.502 0.000
0.000 0.000 3.072
Sr Be Au
2 4 4
Cartesian
0.000 0.000 0.000 Sr
3.751 3.751 0.000 Sr
0.810 2.941 0.000 Be
2.941 6.692 0.000 Be
4.561 0.810 0.000 Be
6.692 4.561 0.000 Be
1.253 5.004 1.536 Au
2.498 1.253 1.536 Au
5.004 6.249 1.536 Au
6.249 2.498 1.536 Au

Entry 4:
AlOs2Pb, relaxed, DFT PBE; total moment = 0.00 Bohr magnetons per cell; SG = I-42d (122); energy relative to the elements = 0.756 eV/atom; ρ = 12.42 g cm⁻³; crystal system = tetragonal; final energy = -6.722 eV/atom; ΔE to the lowest computed polymorph = 459 meV per atom
1.0
-2.148 2.148 8.907
2.148 -2.148 8.907
2.148 2.148 -8.907
Al Os Pb
2 4 2
Cartesian
0.000 0.000 0.000 Al
0.000 2.148 4.454 Al
3.222 0.591 -2.227 Os
0.591 1.074 2.227 Os
-1.074 1.557 6.680 Os
1.557 1.074 11.134 Os
2.148 0.000 4.454 Pb
0.000 0.000 8.907 Pb

Entry 5:
Hg2SbSe4, relaxed, DFT PBE; total moment = 0.00 Bohr magnetons per cell; SG = C2/m (12); ρ = 7.09 g cm⁻³; crystal system = monoclinic; final energy = -2.781 eV/atom; formation energy (no corrections) = -114 meV/atom
1.0
6.657 -2.090 0.000
6.657 2.090 0.000
-1.879 0.000 7.056
Hg Sb Se
2 1 4
Cartesian
1.625 0.000 0.705 Hg
9.809 0.000 6.351 Hg
5.717 0.000 3.528 Sb
1.003 0.000 3.223 Se
4.664 0.000 0.922 Se
6.769 0.000 6.135 Se
10.431 0.000 3.833 Se

Entry 6:
LaInPb2, relaxed, DFT PBE; total moment = 0.00 Bohr magnetons per cell; SG = Pm (6); energy relative to the elements = -0.286 eV/atom; ρ = 9.07 g cm⁻³; crystal system = monoclinic; final energy = -4.057 eV/atom
1.0
3.584 0.000 0.000
0.000 5.253 0.000
-0.223 0.000 6.498
La In Pb
1 1 2
Cartesian
0.000 0.000 0.000 La
1.684 2.627 4.937 In
0.951 0.000 3.296 Pb
1.983 2.627 1.586 Pb

Entry 7:
BeHg2Br, relaxed, DFT PBE; total moment = 0.00 Bohr magnetons per cell; SG = P2/m (10); ρ = 8.13 g cm⁻³; crystal system = monoclinic; final energy = -1.409 eV/atom; formation energy (no corrections) = 92 meV/atom; ΔE to the lowest computed polymorph = 158 meV per atom
1.0
4.746 0.000 0.000
0.000 3.651 0.000
-2.368 0.000 5.778
Be Hg Br
1 2 1
Cartesian
0.000 0.000 0.000 Be
-0.003 1.825 1.841 Hg
2.382 1.825 3.938 Hg
2.373 0.000 0.000 Br

Entry 8:
Ac3PtPb, relaxed, DFT PBE; total moment = 0.00 Bohr magnetons per cell; SG = P2_1/c (14); energy relative to the elements = -0.675 eV/atom; ρ = 9.40 g cm⁻³; crystal system = monoclinic; final energy = -5.090 eV/atom; ΔE to the lowest computed polymorph = 54 meV per atom
1.0
10.696 0.000 0.000
0.000 7.364 0.000
-4.174 0.000 9.723
Ac Pt Pb
12 4 4
Cartesian
-0.608 0.487 3.504 Ac
-2.695 3.195 8.365 Ac
-0.182 4.321 5.348 Ac
1.905 6.725 0.486 Ac
0.934 0.829 7.537 Ac
3.021 2.853 2.675 Ac
3.501 4.511 7.048 Ac
5.588 6.535 2.186 Ac
4.618 0.639 9.237 Ac
6.705 3.043 4.375 Ac
9.217 4.169 1.358 Ac
7.130 6.877 6.219 Ac
-1.584 1.773 5.992 Pt
0.503 1.909 1.131 Pt
6.019 5.454 8.592 Pt
8.106 5.591 3.731 Pt
0.502 4.895 8.866 Pb
2.589 6.151 4.005 Pb
3.933 1.213 5.718 Pb
6.020 2.469 0.857 Pb

Entry 9:
CsSc3H, relaxed, DFT PBE; total moment = 0.00 Bohr magnetons per cell; SG = Pm-3m (221); ρ = 2.93 g cm⁻³; crystal system = cubic; final energy = -2.596 eV/atom; ΔE to the lowest computed polymorph = 1446 meV per atom
1.0
5.342 0.000 0.000
0.000 5.342 0.000
0.000 0.000 5.342
Cs Sc H
1 3 1
Cartesian
0.000 0.000 0.000 Cs
0.000 0.000 2.671 Sc
0.000 2.671 0.000 Sc
2.671 0.000 0.000 Sc
2.671 2.671 2.671 H

Entry 10:
Th2RhAu, relaxed, DFT PBE; total moment = 0.00 Bohr magnetons per cell; SG = P-3m1 (164); energy relative to the elements = -0.695 eV/atom; ρ = 11.69 g cm⁻³; crystal system = trigonal; final energy = -7.062 eV/atom
1.0
4.230 0.000 0.000
-2.115 3.663 0.000
0.000 0.000 7.006
Th Rh Au
2 1 1
Cartesian
0.000 2.442 1.961 Th
2.115 1.221 5.045 Th
0.000 0.000 3.503 Rh
0.000 0.000 0.000 Au

Entry 11:
Fe2CoNiH, relaxed, DFT PBE; total moment = 7.14 Bohr magnetons per cell; SG = P4/mmm (123); ρ = 8.06 g cm⁻³; crystal system = tetragonal; final energy = -6.636 eV/atom; ΔE to the lowest computed polymorph = 8 meV per atom
1.0
3.675 0.000 0.000
0.000 3.675 0.000
0.000 0.000 3.512
Fe Co Ni H
2 1 1 1
Cartesian
0.000 1.837 0.000 Fe
1.837 0.000 0.000 Fe
0.000 0.000 1.756 Co
1.837 1.837 1.756 Ni
1.837 1.837 0.000 H

Entry 12:
GaHg2BC, relaxed, DFT PBE; total moment = 0.00 Bohr magnetons per cell; SG = P4/mmm (123); energy relative to the elements = 0.458 eV/atom; ρ = 8.67 g cm⁻³; crystal system = tetragonal; final energy = -3.448 eV/atom
1.0
5.770 0.000 0.000
0.000 5.770 0.000
0.000 0.000 2.840
Ga Hg B C
1 2 1 1
Cartesian
0.000 0.000 0.000 Ga
0.000 2.885 1.420 Hg
2.885 0.000 1.420 Hg
2.885 2.885 0.000 B
2.885 2.885 1.420 C